The following is a PBE calculation of a relaxed structure of LiHfIn2Se, from Alexandria.

## Properties
**E_form (uncorrected)**: 0.41 eV per atom
**N(E_F)**: 5.6 states/eV/cell
**Space group**: P4/mmm, No. 123

abc: 5.6200 5.6200 4.9475
angles: 90.00 90.00 90.00
Closest atoms and distances in Å follow each position.
Sites, in units of the cell vectors:
1 Li 0.0000 0.0000 0.0000  8 In 3.74, 4 Hf 3.97
2 Hf 0.5000 0.5000 0.0000  2 Se 2.47
3 In 0.0000 0.5000 0.5000  2 Se 2.81
4 In 0.5000 0.0000 0.5000  2 Se 2.81
5 Se 0.5000 0.5000 0.5000  2 Hf 2.47

***

The following is a PBE calculation of a relaxed structure of SrGe2F8, from Alexandria.

## Properties
**E_form (uncorrected)**: -2.53 eV per atom
**N(E_F)**: 0.9 states/eV/cell
**Space group**: C2/m, No. 12

abc: 5.9876 5.9876 6.2971
angles: 99.86 99.86 50.71
Closest atoms and distances in Å follow each position.
Sites, in units of the cell vectors:
1 Sr 0.0000 0.0000 0.0000  6 F 2.45-2.65
2 Ge 0.2246 0.2246 0.6400  4 F 1.80-1.89
3 Ge 0.7754 0.7754 0.3600  4 F 1.80-1.89
4 F 0.0899 0.6023 0.2161  1 Ge 1.80
5 F 0.1017 0.1017 0.3828  1 Ge 1.89
6 F 0.3826 0.3826 0.8194  1 Ge 1.86
7 F 0.3977 0.9101 0.7839  1 Ge 1.80
8 F 0.6023 0.0899 0.2161  1 Ge 1.80
9 F 0.6174 0.6174 0.1806  1 Ge 1.86
10 F 0.8983 0.8983 0.6172  1 Ge 1.89
11 F 0.9101 0.3977 0.7839  1 Ge 1.80

***

The following is a PBE calculation of a relaxed structure of Tb8ZnPd2, from Alexandria.

## Properties
**N(E_F)**: 12.3 states/eV/cell
**Polymorph energy (0 for the lowest one)**: 0 meV/atom
**Space group**: C2/m, No. 12
**E_form**: -366 meV/atom

abc: 9.2721 9.2721 6.8030
angles: 106.46 106.46 32.09
Closest atoms and distances in Å follow each position.
Sites, in units of the cell vectors:
1 Tb 0.0314 0.0314 0.2816  1 Pd 2.78, 2 Zn 3.09
2 Tb 0.1996 0.1996 0.8283  1 Pd 2.83
3 Tb 0.3281 0.3281 0.5129  1 Pd 2.79, 1 Zn 3.09
4 Tb 0.4071 0.4071 0.0342  1 Zn 3.11, 2 Pd 3.23, 6 Tb 3.41-3.48
5 Tb 0.5929 0.5929 0.9658  1 Zn 3.11, 2 Pd 3.23, 6 Tb 3.41-3.48
6 Tb 0.6719 0.6719 0.4871  1 Pd 2.79, 1 Zn 3.09
7 Tb 0.8004 0.8004 0.1717  1 Pd 2.83
8 Tb 0.9686 0.9686 0.7184  1 Pd 2.78, 2 Zn 3.09
9 Zn 0.5000 0.5000 0.5000  8 Tb 3.09-3.11
10 Pd 0.1795 0.1795 0.2255  3 Tb 2.78-2.83
11 Pd 0.8205 0.8205 0.7745  3 Tb 2.78-2.83

***

The following is a PBE calculation of a relaxed structure of CdPt2Pb2, from Alexandria.

## Properties
**N(E_F)**: 3.2 states/eV/cell
**Polymorph energy (0 for the lowest one)**: 210 meV/atom
**Space group**: P4/mbm, No. 127
**E_form**: 78 meV/atom

abc: 8.3656 8.3656 3.2629
angles: 90.00 90.00 90.00
Closest atoms and distances in Å follow each position.
Sites, in units of the cell vectors:
1 Cd 0.0000 0.0000 0.0000  4 Pb 3.16, 2 Cd 3.26
2 Cd 0.5000 0.5000 0.0000  4 Pb 3.16, 2 Cd 3.26
3 Pt 0.1357 0.3643 0.5000  6 Pb 2.94-2.96, 3 Pt 3.21-3.26
4 Pt 0.3643 0.8643 0.5000  6 Pb 2.94-2.96, 3 Pt 3.21-3.26
5 Pt 0.6357 0.1357 0.5000  6 Pb 2.94-2.96, 3 Pt 3.21-3.26
6 Pt 0.8643 0.6357 0.5000  6 Pb 2.94-2.96, 3 Pt 3.21-3.26
7 Pb 0.1553 0.6553 0.0000  6 Pt 2.94-2.96, 2 Cd 3.16, 2 Pb 3.26
8 Pb 0.3447 0.1553 0.0000  6 Pt 2.94-2.96, 2 Cd 3.16, 2 Pb 3.26
9 Pb 0.6553 0.8447 0.0000  6 Pt 2.94-2.96, 2 Cd 3.16, 2 Pb 3.26
10 Pb 0.8447 0.3447 0.0000  6 Pt 2.94-2.96, 2 Cd 3.16, 2 Pb 3.26